A plane-wave DFT calculation with GGA-PBEsol was carried out for a relaxed FeNi2 crystal.

Geometry as extended XYZ:
```
12
Lattice="-1.7449 1.7449 10.4621 1.7449 -1.7449 10.4621 1.7449 1.7449 -10.4621" Properties=species:S:1:pos:R:3 pbc="T T T"
Fe 1.7449 0.8725 0.8808
Fe 1.7449 0.8725 4.3503
Fe 0.0000 0.8725 6.1119
Fe 0.0000 0.8725 9.5813
Ni 1.7449 -0.8725 6.1077
Ni 1.7449 0.8725 -2.6225
Ni 1.7449 -0.8725 9.5855
Ni 0.0000 0.8725 2.6086
Ni 1.7449 0.8725 7.8535
Ni 0.0000 2.6174 0.8766
Ni 0.0000 0.8725 13.0846
Ni 0.0000 2.6174 4.3545
```

Crystal system: tetragonal
Final energy in eV/f.u.: -21.4
Space group: I4_1/amd
D(E_F) in states/eV/f.u.: 2.85
Density in Mg/m³: 9.03